Record 1
Density functional theory data (PBE) for CaTaPt after structural relaxation.

Results
Symmetry ... P3m1, No. 156
Energy relative to the elements ... -0.10 eV per atom
ΔE to the lowest computed polymorph ... 102.5 meV per atom
DOS(E_F) ... 1.95 states/eV/f.u.

Structure (CIF):
```
data_CaTaPt
_cell_length_a 4.354
_cell_length_b 4.354
_cell_length_c 4.511
_cell_angle_alpha 90.00
_cell_angle_beta 90.00
_cell_angle_gamma 120.00
_space_group_name_H-M_alt 'P 1'
_space_group_IT_number 1
_space_group_name_Hall 'P 1'
loop_
_atom_site_label
_atom_site_type_symbol
_atom_site_fract_x
_atom_site_fract_y
_atom_site_fract_z
Ta1 Ta 0.667 0.333 0.508
Pt1 Pt 0.333 0.667 0.488
Ca1 Ca 0.000 0.000 0.004
```

=====

Record 2
Density functional theory data (PBE) for ThCdSe3 after structural relaxation.

Results
Energy relative to the elements, uncorrected ... -5.95 eV per formula unit
Symmetry ... P2_1/c, No. 14

Structure (CIF):
```
data_ThCdSe3
_cell_length_a 7.584
_cell_length_b 7.300
_cell_length_c 10.233
_cell_angle_alpha 91.18
_cell_angle_beta 90.00
_cell_angle_gamma 90.00
_space_group_name_H-M_alt 'P 1'
_space_group_IT_number 1
_space_group_name_Hall 'P 1'
loop_
_atom_site_label
_atom_site_type_symbol
_atom_site_fract_x
_atom_site_fract_y
_atom_site_fract_z
Th1 Th 0.752 0.501 0.655
Th2 Th 0.252 0.499 0.845
Th3 Th 0.748 0.501 0.155
Th4 Th 0.248 0.499 0.345
Cd1 Cd 0.739 0.003 0.362
Cd2 Cd 0.761 0.003 0.862
Cd3 Cd 0.261 0.997 0.638
Cd4 Cd 0.239 0.997 0.138
Se1 Se 0.084 0.317 0.084
Se2 Se 0.416 0.317 0.584
Se3 Se 0.409 0.679 0.092
Se4 Se 0.584 0.683 0.416
Se5 Se 0.002 0.208 0.743
Se6 Se 0.091 0.679 0.592
Se7 Se 0.591 0.321 0.908
Se8 Se 0.502 0.792 0.757
Se9 Se 0.498 0.208 0.243
Se10 Se 0.998 0.792 0.257
Se11 Se 0.916 0.683 0.916
Se12 Se 0.909 0.321 0.408
```

=====

Record 3
Density functional theory data (PBE) for Dy12Tl6Pt after structural relaxation.

Results
Symmetry ... R-3, No. 148
Energy relative to the elements ... -0.23 eV per atom
DOS(E_F) ... 19.17 states/eV/f.u.

Structure (CIF):
```
data_Dy12Tl6Pt
_cell_length_a 8.325
_cell_length_b 8.325
_cell_length_c 8.325
_cell_angle_alpha 93.31
_cell_angle_beta 93.31
_cell_angle_gamma 93.31
_space_group_name_H-M_alt 'P 1'
_space_group_IT_number 1
_space_group_name_Hall 'P 1'
loop_
_atom_site_label
_atom_site_type_symbol
_atom_site_fract_x
_atom_site_fract_y
_atom_site_fract_z
Tl1 Tl 0.868 0.270 0.655
Tl2 Tl 0.730 0.345 0.132
Tl3 Tl 0.132 0.730 0.345
Tl4 Tl 0.655 0.868 0.270
Tl5 Tl 0.345 0.132 0.730
Tl6 Tl 0.270 0.655 0.868
Dy1 Dy 0.319 0.971 0.102
Dy2 Dy 0.570 0.452 0.796
Dy3 Dy 0.029 0.898 0.681
Dy4 Dy 0.452 0.796 0.570
Dy5 Dy 0.898 0.681 0.029
Dy6 Dy 0.971 0.102 0.319
Dy7 Dy 0.102 0.319 0.971
Dy8 Dy 0.430 0.548 0.204
Dy9 Dy 0.204 0.430 0.548
Dy10 Dy 0.681 0.029 0.898
Dy11 Dy 0.796 0.570 0.452
Dy12 Dy 0.548 0.204 0.430
Pt1 Pt 0.000 0.000 0.000
```

=====

Record 4
Density functional theory data (PBE) for Sb2TeSeBr after structural relaxation.

Results
Energy relative to the elements, uncorrected ... 5.37 eV per formula unit
Symmetry ... P4/mmm, No. 123
ΔE to the lowest computed polymorph ... 523.6 meV per atom
DOS(E_F) ... 6.20 states/eV/f.u.

Structure (CIF):
```
data_Sb2TeSeBr
_cell_length_a 5.614
_cell_length_b 5.614
_cell_length_c 5.341
_cell_angle_alpha 90.00
_cell_angle_beta 90.00
_cell_angle_gamma 90.00
_space_group_name_H-M_alt 'P 1'
_space_group_IT_number 1
_space_group_name_Hall 'P 1'
loop_
_atom_site_label
_atom_site_type_symbol
_atom_site_fract_x
_atom_site_fract_y
_atom_site_fract_z
Sb1 Sb 0.500 0.000 0.000
Sb2 Sb 0.000 0.500 0.000
Te1 Te 0.000 0.000 0.500
Se1 Se 0.500 0.500 0.500
Br1 Br 0.000 0.000 0.000
```

=====

no.,total moment (μB per formula unit)
1,0.0
2,0.0
3,0.0
4,0.0